The following is a PBE-GGA calculation of a geometry-optimized KTiTe2 structure, from Alexandria via LeMat-Bulk.

Cell lengths 7.2552, 7.3449, 12.7464 Å; angles 90.00, 115.77, 90.00 degrees
With the nearest neighbours (Å) after each atom.
Space group P2/c (No. 13)
Symmetry-distinct sites (fractional):
K (0.1056, 0.1974, 0.1270) [4 per cell]  6 Te 3.51-3.84
Ti (0.4895, 0.4046, 0.8737) [4 per cell]  4 Te 2.69-2.71
Te (0.1834, 0.3190, 0.6657) [4 per cell]  2 Ti 2.69-2.70
Te (0.4524, 0.2440, 0.4232) [4 per cell]  2 Ti 2.70-2.71

Computed properties:
Its uncorrected formation energy is -74.6 kJ/mol of atoms. Its total magnetization is 0.25 μB per atom. The total energy comes out at -4.5918 eV per atom.